Entry 1:
15
Lattice="7.450 0.000 0.000 -3.725 6.452 0.000 0.000 0.000 10.431" Properties=species:S:1:pos:R:3 comment="Cs3RbAg2Cl9, relaxed, DFT PBE-GGA" raw_formation_energy_ev_per_atom=-1.20 crystal_system=trigonal dos_at_fermi_per_ev_cell=4.7 pbc="T T T"
Cs 0.000 0.000 0.000
Cs 0.000 4.301 7.508
Cs 3.725 2.151 2.922
Rb 0.000 0.000 5.215
Ag 0.000 4.301 1.496
Ag 3.725 2.151 8.935
Cl -1.862 3.226 0.000
Cl 0.000 2.213 2.906
Cl -1.809 5.345 2.906
Cl 1.916 1.106 7.525
Cl 3.725 0.000 0.000
Cl 1.862 3.226 0.000
Cl 1.809 5.345 2.906
Cl 5.533 1.106 7.525
Cl 3.725 4.239 7.525


Entry 2:
5
Lattice="6.731 0.000 0.000 0.000 6.731 0.000 0.000 0.000 6.349" Properties=species:S:1:pos:R:3 comment="Cs2RbAgCl, relaxed, DFT PBE-GGA" raw_formation_energy_ev_per_atom=-0.65 crystal_system=tetragonal dos_at_fermi_per_ev_cell=3.3 pbc="T T T"
Cs 0.000 3.365 0.000
Cs 3.365 0.000 0.000
Rb 0.000 0.000 3.174
Ag 3.365 3.365 3.174
Cl 0.000 0.000 0.000


Entry 3:
16
Lattice="8.415 -4.704 0.000 8.415 4.704 0.000 -5.381 0.000 7.857" Properties=species:S:1:pos:R:3 comment="Cs4Rb3AgCl8, relaxed, DFT PBE-GGA" raw_formation_energy_ev_per_atom=-1.73 crystal_system=monoclinic dos_at_fermi_per_ev_cell=0.0 pbc="T T T"
Cs 0.000 0.000 0.000
Cs 1.517 2.352 3.928
Cs 1.517 -2.352 3.928
Cs 8.415 0.000 0.000
Rb -2.691 0.000 3.928
Rb 4.208 2.352 0.000
Rb 4.208 -2.352 0.000
Ag 5.724 0.000 3.928
Cl 2.790 0.000 1.790
Cl 0.058 0.000 5.936
Cl 6.810 2.058 2.248
Cl 4.639 2.058 5.609
Cl 6.810 -2.058 2.248
Cl 4.639 -2.058 5.609
Cl 11.391 0.000 1.921
Cl 8.659 0.000 6.067


Entry 4:
5
Lattice="6.883 0.000 0.000 0.000 6.883 0.000 0.000 0.000 4.417" Properties=species:S:1:pos:R:3 comment="Cs2ReAgCl, relaxed, DFT PBE-GGA" raw_formation_energy_ev_per_atom=0.63 crystal_system=tetragonal dos_at_fermi_per_ev_cell=2.9 pbc="T T T"
Cs 0.000 3.442 0.000
Cs 3.442 0.000 0.000
Re 0.000 0.000 2.209
Ag 3.442 3.442 2.209
Cl 0.000 0.000 0.000


Entry 5:
9
Lattice="6.673 0.000 0.000 -3.336 5.779 0.000 0.000 0.000 7.646" Properties=species:S:1:pos:R:3 comment="CsAgRhCl6, relaxed, DFT PBE-GGA" raw_formation_energy_ev_per_atom=-0.83 crystal_system=trigonal dos_at_fermi_per_ev_cell=9.3 pbc="T T T"
Cs 0.000 0.000 0.000
Ag 3.336 1.926 3.823
Rh 0.000 3.852 3.823
Cl -1.034 2.224 2.473
Cl -1.927 3.771 5.172
Cl 1.034 2.224 5.172
Cl -0.893 5.562 2.473
Cl 1.927 3.771 2.473
Cl 0.893 5.562 5.172


Entry 6:
10
Lattice="6.790 0.000 0.000 3.379 5.920 0.000 3.381 -1.850 7.773" Properties=species:S:1:pos:R:3 comment="CsAg2RhCl6, relaxed, DFT PBE-GGA" raw_formation_energy_ev_per_atom=-0.84 crystal_system=triclinic pbc="T T T"
Cs 0.000 0.000 0.000
Ag 6.798 3.985 3.600
Ag 6.753 0.086 4.173
Rh 3.380 2.035 3.886
Cl 4.364 3.729 2.564
Cl 5.288 2.055 5.293
Cl 4.409 0.364 2.560
Cl 9.142 3.706 5.213
Cl 8.263 2.016 2.479
Cl 9.187 0.341 5.209


Entry 7:
15
Lattice="7.363 0.000 0.000 -3.682 6.377 0.000 0.000 0.000 8.999" Properties=species:S:1:pos:R:3 comment="Cs3Ag2RhCl9, relaxed, DFT PBE-GGA" raw_formation_energy_ev_per_atom=-1.12 crystal_system=trigonal dos_at_fermi_per_ev_cell=16.2 pbc="T T T"
Cs 0.000 0.000 0.000
Cs 0.000 4.251 6.047
Cs 3.682 2.126 2.951
Ag 0.000 4.251 1.482
Ag 3.682 2.126 7.517
Rh 0.000 0.000 4.499
Cl -1.841 3.188 0.000
Cl 0.000 1.966 3.126
Cl -1.979 5.394 3.126
Cl 1.703 0.983 5.873
Cl 3.682 0.000 0.000
Cl 1.841 3.188 0.000
Cl 1.979 5.394 3.126
Cl 5.660 0.983 5.873
Cl 3.682 4.411 5.873


Entry 8:
20
Lattice="3.690 2.130 12.406 -3.690 2.130 12.406 0.000 -4.261 12.406" Properties=species:S:1:pos:R:3 comment="Cs2AgRuCl6, relaxed, DFT PBE-GGA" raw_formation_energy_ev_per_atom=-1.11 crystal_system=trigonal dos_at_fermi_per_ev_cell=19.7 pbc="T T T"
Cs 0.000 0.000 4.655
Cs 0.000 0.000 10.864
Cs 0.000 0.000 26.354
Cs 0.000 0.000 32.562
Ag 0.000 0.000 15.236
Ag 0.000 0.000 21.981
Ru 0.000 0.000 0.000
Ru 0.000 0.000 18.609
Cl -1.683 -0.972 17.204
Cl 0.000 -2.302 13.803
Cl -1.993 1.151 13.803
Cl -1.993 -1.151 23.414
Cl 0.000 -1.944 20.013
Cl -1.683 0.972 20.013
Cl 1.683 -0.972 17.204
Cl 0.000 1.944 17.204
Cl 1.993 1.151 13.803
Cl 1.993 -1.151 23.414
Cl 0.000 2.302 23.414
Cl 1.683 0.972 20.013


Entry 9:
9
Lattice="6.809 0.000 0.000 -3.404 5.897 0.000 0.000 0.000 7.550" Properties=species:S:1:pos:R:3 comment="CsAgRuCl6, relaxed, DFT PBE-GGA" raw_formation_energy_ev_per_atom=-0.84 crystal_system=trigonal dos_at_fermi_per_ev_cell=5.9 pbc="T T T"
Cs 0.000 0.000 0.000
Ag 0.000 3.931 3.775
Ru 3.404 1.965 3.775
Cl 2.515 0.255 5.125
Cl 1.479 2.051 2.425
Cl 4.293 0.255 2.425
Cl 2.368 3.591 5.125
Cl 5.330 2.051 5.125
Cl 4.441 3.591 2.425


Entry 10:
5
Lattice="5.439 0.000 0.000 0.000 5.439 0.000 0.000 0.000 4.865" Properties=species:S:1:pos:R:3 comment="CsAgSCl2, relaxed, DFT PBE-GGA" raw_formation_energy_ev_per_atom=-0.64 crystal_system=tetragonal e_above_lowest_polymorph_mev_per_atom=0.0 dos_at_fermi_per_ev_cell=4.3 pbc="T T T"
Cs 0.000 0.000 0.000
Ag 2.719 2.719 2.432
S 2.719 2.719 0.000
Cl 0.000 2.719 2.432
Cl 2.719 0.000 2.432


Entry 11:
5
Lattice="4.917 0.000 0.000 0.000 4.917 0.000 0.000 0.000 5.837" Properties=species:S:1:pos:R:3 comment="CsAgS2Cl, relaxed, DFT PBE-GGA" raw_formation_energy_ev_per_atom=-0.24 crystal_system=tetragonal e_above_lowest_polymorph_mev_per_atom=0.0 dos_at_fermi_per_ev_cell=6.4 pbc="T T T"
Cs 0.000 0.000 0.000
Ag 2.458 2.458 2.918
S 0.000 2.458 2.918
S 2.458 0.000 2.918
Cl 2.458 2.458 0.000


Entry 12:
5
Lattice="5.519 0.000 0.000 0.000 5.519 0.000 0.000 0.000 6.334" Properties=species:S:1:pos:R:3 comment="CsAgS2Cl, relaxed, DFT PBE-GGA" raw_formation_energy_ev_per_atom=0.81 crystal_system=tetragonal e_above_lowest_polymorph_mev_per_atom=1042.3 dos_at_fermi_per_ev_cell=7.3 pbc="T T T"
Cs 0.000 0.000 0.000
Ag 2.759 2.759 3.167
S 0.000 2.759 0.000
S 2.759 0.000 0.000
Cl 0.000 0.000 3.167


Entry 13:
5
Lattice="6.795 0.000 0.000 0.000 6.795 0.000 0.000 0.000 4.672" Properties=species:S:1:pos:R:3 comment="Cs2AgSCl, relaxed, DFT PBE-GGA" raw_formation_energy_ev_per_atom=-1.04 crystal_system=tetragonal pbc="T T T"
Cs 0.000 3.398 0.000
Cs 3.398 0.000 0.000
Ag 0.000 0.000 2.336
S 0.000 0.000 0.000
Cl 3.398 3.398 2.336


Entry 14:
5
Lattice="7.174 0.000 0.000 0.000 7.174 0.000 0.000 0.000 6.470" Properties=species:S:1:pos:R:3 comment="CsAgSCl2, relaxed, DFT PBE-GGA" raw_formation_energy_ev_per_atom=0.38 crystal_system=tetragonal e_above_lowest_polymorph_mev_per_atom=1018.2 dos_at_fermi_per_ev_cell=12.6 pbc="T T T"
Cs 0.000 0.000 0.000
Ag 3.587 3.587 3.235
S 0.000 0.000 3.235
Cl 0.000 3.587 0.000
Cl 3.587 0.000 0.000


Entry 15:
10
Lattice="-3.680 3.680 5.632 3.680 -3.680 5.632 3.680 3.680 -5.632" Properties=species:S:1:pos:R:3 comment="Cs2AgSCl6, relaxed, DFT PBE-GGA" raw_formation_energy_ev_per_atom=-0.95 crystal_system=tetragonal dos_at_fermi_per_ev_cell=2.9 pbc="T T T"
Cs 3.680 0.000 2.816
Cs 0.000 3.680 2.816
Ag 0.000 0.000 0.000
S 0.000 0.000 5.632
Cl 0.000 0.000 2.420
Cl 2.033 2.033 0.000
Cl 1.648 -1.648 5.632
Cl -1.648 1.648 5.632
Cl 1.648 1.648 5.632
Cl 0.000 0.000 8.844


Entry 16:
12
Lattice="6.351 0.000 0.000 -0.438 7.478 0.000 -0.939 -3.519 8.977" Properties=species:S:1:pos:R:3 comment="CsAg2SbCl8, relaxed, DFT PBE-GGA" raw_formation_energy_ev_per_atom=-0.83 crystal_system=triclinic dos_at_fermi_per_ev_cell=0.7 pbc="T T T"
Cs 0.000 0.000 0.000
Ag 1.897 0.547 7.313
Ag 3.078 3.412 1.664
Sb -0.688 1.979 4.488
Cl 0.488 2.690 2.453
Cl 0.514 3.622 5.781
Cl 1.041 0.292 4.947
Cl 2.699 5.599 0.354
Cl 2.275 -1.640 8.622
Cl 3.933 3.667 4.030
Cl 4.461 0.337 3.196
Cl 4.486 1.269 6.523


Entry 17:
12
Lattice="5.762 0.000 0.000 -2.618 8.142 0.000 -0.109 -2.439 8.882" Properties=species:S:1:pos:R:3 comment="CsAgSb2Cl8, relaxed, DFT PBE-GGA" raw_formation_energy_ev_per_atom=-1.00 crystal_system=triclinic dos_at_fermi_per_ev_cell=0.0 pbc="T T T"
Cs 0.000 0.000 0.000
Ag 2.826 -1.220 4.441
Sb 0.022 2.747 6.219
Sb 3.012 2.956 2.662
Cl -0.153 0.296 6.168
Cl -0.314 2.652 2.853
Cl 0.052 2.894 8.605
Cl 0.172 5.630 6.458
Cl 2.863 0.073 2.424
Cl 2.983 2.809 0.277
Cl 3.349 3.051 6.029
Cl 3.187 5.407 2.714


Entry 18:
10
Lattice="7.311 0.000 0.000 -3.655 6.341 0.000 -3.643 -2.111 6.527" Properties=species:S:1:pos:R:3 comment="CsAg2SbCl6, relaxed, DFT PBE-GGA" raw_formation_energy_ev_per_atom=-0.92 crystal_system=triclinic dos_at_fermi_per_ev_cell=0.0 pbc="T T T"
Cs 0.000 0.000 0.000
Ag 0.012 -0.002 3.996
Ag 0.012 4.228 1.587
Sb -3.644 2.114 4.115
Cl -2.378 4.264 2.709
Cl -3.992 4.080 5.741
Cl -1.766 1.435 5.740
Cl 1.178 2.141 2.710
Cl 4.889 -0.057 2.714
Cl 2.140 0.824 5.733


Entry 19:
9
Lattice="6.673 0.000 0.000 -2.877 6.027 0.000 -0.291 -0.444 7.676" Properties=species:S:1:pos:R:3 comment="CsScAgCl6, relaxed, DFT PBE-GGA" raw_formation_energy_ev_per_atom=-1.51 crystal_system=triclinic dos_at_fermi_per_ev_cell=1.2 pbc="T T T"
Cs 0.000 0.000 0.000
Sc 0.260 3.736 3.842
Ag 3.536 1.666 3.840
Cl -0.963 1.862 5.092
Cl -1.491 3.646 2.181
Cl -0.405 5.351 5.510
Cl 1.580 2.094 2.349
Cl 2.312 3.247 5.331
Cl 1.420 5.647 2.587


Entry 20:
10
Lattice="0.000 5.297 5.297 5.297 0.000 5.297 5.297 5.297 0.000" Properties=species:S:1:pos:R:3 comment="Cs2ScAgCl6, relaxed, DFT PBE-GGA" raw_formation_energy_ev_per_atom=-1.79 crystal_system=cubic dos_at_fermi_per_ev_cell=0.0 pbc="T T T"
Cs 2.648 2.648 2.648
Cs 7.945 7.945 7.945
Sc 0.000 0.000 0.000
Ag 5.297 5.297 5.297
Cl 5.297 5.297 2.512
Cl 5.297 2.512 5.297
Cl 8.082 5.297 5.297
Cl 2.512 5.297 5.297
Cl 5.297 8.082 5.297
Cl 5.297 5.297 8.082


Entry 21:
15
Lattice="7.445 0.000 0.000 -3.722 6.447 0.000 0.000 0.000 9.193" Properties=species:S:1:pos:R:3 comment="Cs3ScAg2Cl9, relaxed, DFT PBE-GGA" raw_formation_energy_ev_per_atom=-1.54 crystal_system=trigonal dos_at_fermi_per_ev_cell=6.6 pbc="T T T"
Cs 0.000 0.000 0.000
Cs 0.000 4.298 6.202
Cs 3.722 2.149 2.991
Sc 0.000 0.000 4.596
Ag 0.000 4.298 1.458
Ag 3.722 2.149 7.735
Cl -1.861 3.224 0.000
Cl 0.000 2.060 3.156
Cl -1.938 5.417 3.156
Cl 1.784 1.030 6.036
Cl 3.722 0.000 0.000
Cl 1.861 3.224 0.000
Cl 1.938 5.417 3.156
Cl 5.661 1.030 6.036
Cl 3.722 4.387 6.036


Entry 22:
14
Lattice="7.402 0.000 0.000 -3.701 6.410 0.000 0.000 0.000 10.074" Properties=species:S:1:pos:R:3 comment="Cs3ScAg2Cl8, relaxed, DFT PBE-GGA" raw_formation_energy_ev_per_atom=-1.59 crystal_system=trigonal dos_at_fermi_per_ev_cell=0.0 pbc="T T T"
Cs 0.000 0.000 0.000
Cs 0.000 4.273 6.436
Cs 3.701 2.137 3.638
Sc 0.000 0.000 5.037
Ag 0.000 4.273 2.061
Ag 3.701 2.137 8.013
Cl 0.000 2.024 3.554
Cl -1.948 5.398 3.554
Cl 1.753 1.012 6.520
Cl 0.000 4.273 9.727
Cl 3.701 2.137 0.346
Cl 1.948 5.398 3.554
Cl 5.649 1.012 6.520
Cl 3.701 4.386 6.520